1.
# Al2HgTeS

Al2HgTeS after structural relaxation (PBE, Alexandria via LeMat-Bulk).

- uncorrected formation energy (eV/atom) = 0.576
- SG = No. 123

Cell lengths 5.262, 5.262, 4.875 Å; angles 90.00, 90.00, 90.00 degrees
Atoms (fractional coordinates):
Al1 0.000 0.500 0.000
Al2 0.500 0.000 0.000
Hg1 0.000 0.000 0.000
Te1 0.500 0.500 0.500
S1 0.000 0.000 0.500



2.
# Al2HgSb

Al2HgSb after structural relaxation (PBE, Alexandria via LeMat-Bulk).

- uncorrected formation energy (eV/atom) = 0.216
- SG = No. 122
- ΔE to the lowest computed polymorph (meV per atom) = 96

Cell lengths 6.613, 6.613, 10.707 Å; angles 90.00, 90.00, 90.00 degrees
Atoms (fractional coordinates):
Al1 0.248 0.250 0.125
Al2 0.250 0.748 0.375
Al3 0.250 0.752 0.875
Al4 0.252 0.250 0.625
Al5 0.748 0.750 0.625
Al6 0.750 0.248 0.875
Al7 0.750 0.252 0.375
Al8 0.752 0.750 0.125
Hg1 0.000 0.000 0.000
Hg2 0.000 0.500 0.250
Hg3 0.500 0.000 0.750
Hg4 0.500 0.500 0.500
Sb1 0.000 0.000 0.500
Sb2 0.000 0.500 0.750
Sb3 0.500 0.000 0.250
Sb4 0.500 0.500 0.000



3.
# Al2HgSb

Al2HgSb after structural relaxation (PBE, Alexandria via LeMat-Bulk).

- uncorrected formation energy (eV/atom) = 0.208
- SG = No. 12
- ΔE to the lowest computed polymorph (meV per atom) = 87

Cell lengths 6.351, 7.610, 3.656 Å; angles 90.00, 92.59, 90.00 degrees
Atoms (fractional coordinates):
Al1 0.250 0.250 0.000
Al2 0.250 0.750 0.000
Al3 0.750 0.250 0.000
Al4 0.750 0.750 0.000
Hg1 0.000 0.000 0.500
Hg2 0.500 0.500 0.500
Sb1 0.000 0.500 0.500
Sb2 0.500 0.000 0.500